No. 1
VASP calculation (PBE) on crystalline NdHo4ScS8 at its relaxed geometry.

Properties
Total DFT energy (no corrections), eV/atom: -6.359

a b c (Å): 8.0591 8.0591 19.2753
angles (deg): 90.00 90.00 120.00
Space group R3m (No. 160, hexagonal axes)
Inequivalent atoms, fractional coordinates:
1 Nd 0.0000 0.0000 0.0000
2 Ho 0.0000 0.0000 0.2421
3 Ho 0.0007 0.5004 0.1201
4 Sc 0.0000 0.0000 0.6191
5 S 0.0000 0.0000 0.3764
6 S 0.0000 0.0000 0.8609
7 S 0.0385 0.5193 0.3703
8 S 0.1794 0.3588 0.2039

---

No. 2
VASP calculation (PBE) on crystalline CaY3 at its relaxed geometry.

Properties
Total DFT energy (no corrections), eV/atom: -5.258
DFT formation energy, eV per atom: 0.0908

a b c (Å): 12.043 3.608 6.346
angles (deg): 90.00 99.85 90.00
Space group C2/m (No. 12)
Inequivalent atoms, fractional coordinates:
1 Ca 0.000 0.000 0.000
2 Y 0.000 0.500 0.500
3 Y 0.244 0.000 0.736

---

No. 3
VASP calculation (PBE) on crystalline Sc4ZnRe at its relaxed geometry.

Properties
Total DFT energy (no corrections), eV/atom: -5.960
DFT formation energy, eV per atom: 0.5485

a b c (Å): 7.776 7.776 7.776
angles (deg): 90.00 90.00 90.00
Space group F-43m (No. 216)
Inequivalent atoms, fractional coordinates:
1 Sc 0.123 0.123 0.377
2 Zn 0.000 0.000 0.000
3 Re 0.250 0.250 0.750

---

No. 4
VASP calculation (PBE) on crystalline LiInO2 at its relaxed geometry.

Properties
Total DFT energy (no corrections), eV/atom: -5.300

a b c (Å): 3.2022 3.2022 10.5822
angles (deg): 90.00 90.00 120.00
Space group P6_3/mmc (No. 194)
Inequivalent atoms, fractional coordinates:
1 Li 0.3333 0.6667 0.2500
2 In 0.0000 0.0000 0.0000
3 O 0.3333 0.6667 0.6155

---

No. 5
VASP calculation (PBE) on crystalline Mg2UNb3N6 at its relaxed geometry.

Properties
Total DFT energy (no corrections), eV/atom: -9.031

a b c (Å): 5.413 9.429 5.599
angles (deg): 90.00 108.75 90.00
Space group C2/m (No. 12)
Inequivalent atoms, fractional coordinates:
1 Mg 0.000 0.166 0.000
2 U 0.000 0.500 0.000
3 Nb 0.000 0.000 0.500
4 Nb 0.000 0.321 0.500
5 N 0.248 0.000 0.255
6 N 0.248 0.169 0.755

---

No. 6
VASP calculation (PBE) on crystalline Sr3CaRh at its relaxed geometry.

Properties
Total DFT energy (no corrections), eV/atom: -3.057
DFT formation energy, eV per atom: -0.1770
Distance to the lowest polymorph of the same formula, meV/atom: 23

a b c (Å): 9.413 7.791 13.454
angles (deg): 90.00 126.13 90.00
Space group P2_1/c (No. 14)
Inequivalent atoms, fractional coordinates:
1 Sr 0.059 0.081 0.294
2 Sr 0.317 0.160 0.668
3 Sr 0.435 0.722 0.468
4 Ca 0.146 0.658 0.579
5 Rh 0.199 0.097 0.953

---

No. 7
VASP calculation (PBE) on crystalline CaEr2PbO6 at its relaxed geometry.

Properties
Total DFT energy (no corrections), eV/atom: -7.126

a b c (Å): 5.7715 5.7715 15.2711
angles (deg): 90.00 90.00 120.00
Space group R3 (No. 146, hexagonal axes)
Inequivalent atoms, fractional coordinates:
1 Ca 0.0000 0.0000 0.0000
2 Er 0.0000 0.0000 0.2810
3 Er 0.0000 0.0000 0.7813
4 Pb 0.0000 0.0000 0.4906
5 O 0.0195 0.7238 0.3872
6 O 0.0315 0.3606 0.5513

---

No. 8
VASP calculation (PBE) on crystalline Ba2LaMn at its relaxed geometry.

Properties
Total DFT energy (no corrections), eV/atom: -3.952
DFT formation energy, eV per atom: 0.5335
Distance to the lowest polymorph of the same formula, meV/atom: 250

a b c (Å): 5.261 5.293 5.645
angles (deg): 90.00 90.00 90.00
Space group Pmmm (No. 47)
Inequivalent atoms, fractional coordinates:
1 Ba 0.000 0.000 0.000
2 Ba 0.500 0.500 0.000
3 La 0.000 0.500 0.500
4 Mn 0.500 0.000 0.500

---

No. 9
VASP calculation (PBE) on crystalline CsPuGeI6 at its relaxed geometry.

Properties
Total DFT energy (no corrections), eV/atom: -4.162

a b c (Å): 8.0015 8.0015 8.5676
angles (deg): 90.00 90.00 120.00
Space group P312 (No. 149)
Inequivalent atoms, fractional coordinates:
1 Cs 0.0000 0.0000 0.0000
2 Pu 0.3333 0.6667 0.5000
3 Ge 0.6667 0.3333 0.5000
4 I 0.3770 0.0075 0.7046

---

No. 10
VASP calculation (PBE) on crystalline Ce2GaPd9 at its relaxed geometry.

Properties
Total DFT energy (no corrections), eV/atom: -5.847
DFT formation energy, eV per atom: -0.7116

a b c (Å): 4.109 4.109 12.074
angles (deg): 90.00 90.00 90.00
Space group P4/mmm (No. 123)
Inequivalent atoms, fractional coordinates:
1 Ce 0.000 0.000 0.176
2 Ga 0.000 0.000 0.500
3 Pd 0.000 0.500 0.000
4 Pd 0.000 0.500 0.344
5 Pd 0.500 0.500 0.173
6 Pd 0.500 0.500 0.500

---

No. 11
VASP calculation (PBE) on crystalline Ba6Tl2Au at its relaxed geometry.

Properties
Total DFT energy (no corrections), eV/atom: -2.509
DFT formation energy, eV per atom: -0.3367
Distance to the lowest polymorph of the same formula, meV/atom: 0

a b c (Å): 8.166 9.115 14.374
angles (deg): 90.00 123.65 90.00
Space group P2_1/c (No. 14)
Inequivalent atoms, fractional coordinates:
1 Ba 0.110 0.182 0.435
2 Ba 0.267 0.679 0.434
3 Ba 0.386 0.033 0.255
4 Tl 0.204 0.109 0.747
5 Au 0.000 0.000 0.000

---

No. 12
VASP calculation (PBE) on crystalline Co2GeAu at its relaxed geometry.

Properties
Total DFT energy (no corrections), eV/atom: -5.125
DFT formation energy, eV per atom: 0.4013

a b c (Å): 3.788 3.788 17.506
angles (deg): 90.00 90.00 90.00
Space group I-42d (No. 122)
Inequivalent atoms, fractional coordinates:
1 Co 0.171 0.250 0.125
2 Ge 0.000 0.000 0.000
3 Au 0.000 0.000 0.500

---

No. 13
VASP calculation (PBE) on crystalline TmHfThSc at its relaxed geometry.

Properties
Total DFT energy (no corrections), eV/atom: -6.910
DFT formation energy, eV per atom: 0.1342

a b c (Å): 7.535 7.535 7.535
angles (deg): 90.00 90.00 90.00
Space group F-43m (No. 216)
Inequivalent atoms, fractional coordinates:
1 Tm 0.000 0.000 0.000
2 Hf 0.250 0.250 0.250
3 Th 0.000 0.000 0.500
4 Sc 0.250 0.250 0.750

---

No. 14
VASP calculation (PBE) on crystalline Tb3Pm4Cd4 at its relaxed geometry.

Properties
Total DFT energy (no corrections), eV/atom: -3.402
DFT formation energy, eV per atom: -0.0786

a b c (Å): 5.356 6.927 17.789
angles (deg): 90.00 90.00 90.00
Space group Immm (No. 71)
Inequivalent atoms, fractional coordinates:
1 Tb 0.000 0.000 0.000
2 Tb 0.000 0.500 0.097
3 Pm 0.000 0.262 0.319
4 Cd 0.000 0.000 0.169
5 Cd 0.000 0.211 0.500

---

No. 15
VASP calculation (PBE) on crystalline BiIr2PbI at its relaxed geometry.

Properties
Total DFT energy (no corrections), eV/atom: -3.681

a b c (Å): 5.080 5.080 6.036
angles (deg): 90.00 90.00 90.00
Space group P4/mmm (No. 123)
Inequivalent atoms, fractional coordinates:
1 Bi 0.000 0.000 0.000
2 Ir 0.000 0.500 0.500
3 Pb 0.000 0.000 0.500
4 I 0.500 0.500 0.000

---

No. 16
VASP calculation (PBE) on crystalline SrGd2Ag at its relaxed geometry.

Properties
Total DFT energy (no corrections), eV/atom: -8.200
DFT formation energy, eV per atom: -0.0258
Distance to the lowest polymorph of the same formula, meV/atom: 0

a b c (Å): 3.734 3.734 9.557
angles (deg): 90.00 90.00 90.00
Space group P4/mmm (No. 123)
Inequivalent atoms, fractional coordinates:
1 Sr 0.000 0.000 0.000
2 Gd 0.500 0.500 0.317
3 Ag 0.000 0.000 0.500

---

No. 17
VASP calculation (PBE) on crystalline TbBi2Te4 at its relaxed geometry.

Properties
Total DFT energy (no corrections), eV/atom: -4.071

a b c (Å): 4.172 15.843 14.787
angles (deg): 90.00 90.00 90.00
Space group Cmcm (No. 63)
Inequivalent atoms, fractional coordinates:
1 Tb 0.000 0.114 0.250
2 Bi 0.000 0.366 0.072
3 Te 0.000 0.000 0.000
4 Te 0.000 0.293 0.622
5 Te 0.000 0.472 0.250

---

No. 18
VASP calculation (PBE) on crystalline TcBiBr2 at its relaxed geometry.

Properties
Total DFT energy (no corrections), eV/atom: -3.901
Distance to the lowest polymorph of the same formula, meV/atom: 267

a b c (Å): 3.2522 3.2522 35.8294
angles (deg): 90.00 90.00 120.00
Space group R-3m (No. 166, hexagonal axes)
Inequivalent atoms, fractional coordinates:
1 Tc 0.0000 0.0000 0.0000
2 Bi 0.0000 0.0000 0.5000
3 Br 0.0000 0.0000 0.0658

---

No. 19
VASP calculation (PBE) on crystalline PuTl3Cu2S6 at its relaxed geometry.

Properties
Total DFT energy (no corrections), eV/atom: -5.017

a b c (Å): 6.237 14.594 6.933
angles (deg): 90.00 109.76 90.00
Space group C2/m (No. 12)
Inequivalent atoms, fractional coordinates:
1 Pu 0.000 0.000 0.000
2 Tl 0.000 0.182 0.500
3 Tl 0.000 0.500 0.500
4 Cu 0.000 0.409 0.000
5 S 0.206 0.369 0.796
6 S 0.218 0.000 0.743

---

No. 20
VASP calculation (PBE) on crystalline InSnAu at its relaxed geometry.

Properties
Total DFT energy (no corrections), eV/atom: -3.468
DFT formation energy, eV per atom: -0.1280

a b c (Å): 4.523 5.489 6.646
angles (deg): 71.49 77.29 86.26
Space group P1 (No. 1)
Inequivalent atoms, fractional coordinates:
1 In 0.000 0.000 0.000
2 In 0.160 0.993 0.468
3 Sn 0.531 0.441 0.632
4 Sn 0.679 0.451 0.110
5 Au 0.104 0.543 0.343
6 Au 0.577 0.894 0.766